Entry from the Alexandria database: an optimized crystal structure of PaCoO3 (GGA+U).

a = 3.7815 Å, b = 3.7815 Å, c = 3.7815 Å
α = 90.00°, β = 90.00°, γ = 90.00°
Closest atoms and distances in Å follow each position.
Sites, in units of the cell vectors:
Pa 0.0000 0.0000 0.0000  12 O 2.67
Co 0.5000 0.5000 0.5000  6 O 1.89
O 0.0000 0.5000 0.5000  2 Co 1.89
O 0.5000 0.0000 0.5000  2 Co 1.89
O 0.5000 0.5000 0.0000  2 Co 1.89

**V**: 54 Å³/cell
**VASP energy**: -7.8512 eV/atom
**Calculated density**: 10379 kg/m3